! GGA-PBE CaCdSi2B, optimized geometry; values from VASP
! N(E_F) = 0.795 states/eV/atom
! total magnetization = 0.093 μB/atom
! energy relative to the elements, uncorrected = 2.060 eV per atom
! space-group type = P4/mmm, No. 123
! total energy = -2.028 eV/atom
&SYSTEM
  ibrav = 0, nat = 5, ntyp = 4
/
ATOMIC_SPECIES
Ca 40.08 Ca.upf
B 10.81 B.upf
Si 28.09 Si.upf
Cd 112.41 Cd.upf
CELL_PARAMETERS angstrom
-2.037 -0.357 -4.948
2.886 -4.893 -0.835
-4.164 -2.784 1.915
ATOMIC_POSITIONS angstrom
Ca 0.000 0.000 0.000
B -1.657 -4.017 -1.934
Si -2.082 -1.392 0.958
Si -1.018 -0.179 -2.474
Cd 1.443 -2.446 -0.417